Entry 1:
# CaOsCl PBE-GGA optimized geometry
data_CaOsCl
_chemical_formula_sum 'Ca1 Os1 Cl1'
_cell_length_a 3.1824
_cell_length_b 3.1824
_cell_length_c 7.3942
_cell_angle_alpha 90.00
_cell_angle_beta 90.00
_cell_angle_gamma 120.00
_space_group_name_H-M_alt 'P 3 m 1'
_space_group_IT_number 156
_space_group_name_Hall 'P 3 -2"'
loop_
_atom_site_label
_atom_site_type_symbol
_atom_site_fract_x
_atom_site_fract_y
_atom_site_fract_z
_atom_site_occupancy
Ca1 Ca 0.0000 0.0000 0.0000 1
Os1 Os 0.3333 0.6667 0.6821 1
Cl1 Cl 0.6667 0.3333 0.2540 1
# - E: -4.7488 eV/atom
# - Total moment: 1.167 μB per formula unit
# - Energy relative to the elements, uncorrected: 0.277 eV/atom

Entry 2:
# CaOsCl PBE-GGA optimized geometry
data_CaOsCl
_chemical_formula_sum 'Ca2 Os2 Cl2'
_cell_length_a 2.987
_cell_length_b 2.987
_cell_length_c 14.853
_cell_angle_alpha 90.00
_cell_angle_beta 90.00
_cell_angle_gamma 90.00
_space_group_name_H-M_alt 'I 4 m m'
_space_group_IT_number 107
_space_group_name_Hall 'I 4 -2'
loop_
_atom_site_label
_atom_site_type_symbol
_atom_site_fract_x
_atom_site_fract_y
_atom_site_fract_z
_atom_site_occupancy
Ca1 Ca 0.000 0.000 0.000 1
Os1 Os 0.000 0.000 0.346 1
Cl1 Cl 0.000 0.000 0.614 1
# - E: -4.8293 eV/atom
# - Total moment: 0.956 μB per formula unit
# - Energy relative to the elements, uncorrected: 0.197 eV/atom

Entry 3:
# CaOs2Cl PBE-GGA optimized geometry
data_CaOs2Cl
_chemical_formula_sum 'Ca1 Os2 Cl1'
_cell_length_a 2.847
_cell_length_b 5.074
_cell_length_c 5.273
_cell_angle_alpha 90.00
_cell_angle_beta 90.00
_cell_angle_gamma 90.00
_space_group_name_H-M_alt 'P m m m'
_space_group_IT_number 47
_space_group_name_Hall '-P 2 2'
loop_
_atom_site_label
_atom_site_type_symbol
_atom_site_fract_x
_atom_site_fract_y
_atom_site_fract_z
_atom_site_occupancy
Ca1 Ca 0.000 0.000 0.000 1
Os1 Os 0.500 0.232 0.500 1
Cl1 Cl 0.000 0.500 0.000 1
# - E: -5.8496 eV/atom
# - Total moment: 0.000 μB per formula unit
# - Energy relative to the elements, uncorrected: 0.727 eV/atom

Entry 4:
# CaOs2Cl PBE-GGA optimized geometry
data_CaOs2Cl
_chemical_formula_sum 'Ca4 Os8 Cl4'
_cell_length_a 6.549
_cell_length_b 6.549
_cell_length_c 6.549
_cell_angle_alpha 90.00
_cell_angle_beta 90.00
_cell_angle_gamma 90.00
_space_group_name_H-M_alt 'F -4 3 m'
_space_group_IT_number 216
_space_group_name_Hall 'F -4 2 3'
loop_
_atom_site_label
_atom_site_type_symbol
_atom_site_fract_x
_atom_site_fract_y
_atom_site_fract_z
_atom_site_occupancy
Ca1 Ca 0.000 0.000 0.000 1
Os1 Os 0.000 0.000 0.500 1
Os2 Os 0.250 0.250 0.750 1
Cl1 Cl 0.250 0.250 0.250 1
# - E: -5.7045 eV/atom
# - Total moment: 0.001 μB per formula unit
# - Energy relative to the elements, uncorrected: 0.872 eV/atom